[1]
This record from Alexandria via LeMat-Bulk describes an optimized crystal structure of PrDyPtAu. The functional is PBE.

```
PrDyPtAu
1.0
4.676 0.000 0.000
0.000 1.935 5.441
0.000 -1.935 5.441
Pr Dy Pt Au
1 1 1 1
Cartesian
0.000 0.000 0.000 Pr
2.338 0.000 7.883 Dy
0.000 0.000 2.951 Pt
2.338 0.000 4.840 Au
```

Summary:
The formation energy is -1.00 eV per atom. The mass density is 11.73 Mg/m³. As for the energy above the most stable polymorph in this dataset: 0 meV/atom.



[2]
This record from Alexandria via LeMat-Bulk describes an optimized crystal structure of PrDyPtAu. The functional is PBE.

```
PrDyPtAu
1.0
0.000 3.622 3.622
3.622 0.000 3.622
3.622 3.622 0.000
Pr Dy Pt Au
1 1 1 1
Cartesian
0.000 0.000 0.000 Pr
3.622 3.622 3.622 Dy
1.811 1.811 1.811 Pt
5.433 5.433 5.433 Au
```

Summary:
The formation energy is -0.94 eV per atom. The mass density is 12.15 Mg/m³. As for the energy above the most stable polymorph in this dataset: 61 meV/atom.



[3]
This record from Alexandria via LeMat-Bulk describes an optimized crystal structure of PrDyRhAu. The functional is PBE.

```
PrDyRhAu
1.0
0.000 3.591 3.591
3.591 0.000 3.591
3.591 3.591 0.000
Pr Dy Rh Au
1 1 1 1
Cartesian
0.000 0.000 0.000 Pr
3.591 3.591 3.591 Dy
1.795 1.795 1.795 Rh
5.386 5.386 5.386 Au
```

Summary:
The formation energy is -0.73 eV per atom. The mass density is 10.82 Mg/m³. As for the energy above the most stable polymorph in this dataset: 58 meV/atom.



[4]
This record from Alexandria via LeMat-Bulk describes an optimized crystal structure of PrDyRhAu. The functional is PBE.

```
PrDyRhAu
1.0
4.654 0.000 0.000
0.000 1.938 5.306
0.000 -1.938 5.306
Pr Dy Rh Au
1 1 1 1
Cartesian
0.000 0.000 0.000 Pr
2.327 0.000 2.977 Dy
0.000 0.000 7.819 Rh
2.327 0.000 5.997 Au
```

Summary:
The formation energy is -0.78 eV per atom. The mass density is 10.47 Mg/m³. As for the energy above the most stable polymorph in this dataset: 0 meV/atom.



[5]
This record from Alexandria via LeMat-Bulk describes an optimized crystal structure of PrDySnAu. The functional is PBE.

```
PrDySnAu
1.0
0.000 3.766 3.766
3.766 0.000 3.766
3.766 3.766 0.000
Pr Dy Sn Au
1 1 1 1
Cartesian
0.000 0.000 0.000 Pr
3.766 3.766 3.766 Dy
1.883 1.883 1.883 Sn
5.649 5.649 5.649 Au
```

Summary:
The formation energy is -0.70 eV per atom. The mass density is 9.62 Mg/m³.



[6]
This record from Alexandria via LeMat-Bulk describes an optimized crystal structure of PrDyTeAu. The functional is PBE.

```
PrDyTeAu
1.0
2.124 1.226 7.592
-2.124 1.226 7.592
0.000 -2.452 7.592
Pr Dy Te Au
1 1 1 1
Cartesian
0.000 0.000 0.000 Pr
0.000 0.000 11.668 Dy
0.000 0.000 17.305 Te
0.000 0.000 5.732 Au
```

Summary:
The mass density is 8.79 Mg/m³. The uncorrected formation energy is -1047 meV/atom.